Entry 1:
Entry from the Open Quantum Materials Database: a geometry-optimized TbTmTeC structure (PBE).

Cell and atoms, written as POSCAR:
```
TbTmTeC
1.0
-2.1332 -2.7266 1.5944
3.5714 -0.7666 -1.0884
4.6512 3.7441 12.6254
C Tb Te Tm
2 2 2 2
Cartesian
1.1409 0.9184 3.0969 C
3.5103 2.8257 9.5284 C
3.2536 -0.1451 4.1047 Tb
4.7374 1.0493 8.1324 Tb
1.6699 -1.4199 -0.1941 Te
2.0940 -0.2012 7.0129 Te
0.4866 -1.4951 2.6499 Tm
3.7013 1.0926 11.3758 Tm
```

Entry 2:
Entry from the Open Quantum Materials Database: a geometry-optimized Cs2Lu7CCl18 structure (PBE).

Cell and atoms, written as POSCAR:
```
Cs2Lu7CCl18
1.0
4.9763 -8.6192 0.0000
4.9763 8.6192 0.0000
0.0000 -5.7461 9.1326
C Cl Cs Lu
1 18 2 7
Cartesian
0.0000 0.0000 0.0000 C
3.5134 1.1376 0.0679 Cl
7.2107 2.4739 0.0679 Cl
4.2048 5.0077 0.0679 Cl
6.4195 -7.0942 3.0080 Cl
0.5990 -2.0123 3.0080 Cl
7.9103 0.4874 3.0080 Cl
3.7043 -4.5856 3.0557 Cl
7.0954 -3.1184 3.0557 Cl
4.1292 -0.9152 3.0557 Cl
5.8234 -4.8309 6.0769 Cl
2.8572 -2.6278 6.0769 Cl
6.2483 -1.1605 6.0769 Cl
2.0422 -6.2335 6.1246 Cl
9.3535 -3.7338 6.1246 Cl
3.5331 1.3481 6.1246 Cl
5.7478 -10.7538 9.0648 Cl
2.7419 -8.2201 9.0648 Cl
6.4391 -6.8837 9.0648 Cl
4.9763 2.8731 3.0462 Cs
4.9763 -8.6192 6.0864 Cs
4.4007 -6.6487 1.4116 Lu
8.5339 -1.4837 1.4116 Lu
1.9943 -0.4868 1.4116 Lu
4.9763 -2.8731 4.5663 Lu
7.9583 -5.2594 7.7210 Lu
1.4187 -4.2624 7.7210 Lu
5.5519 0.9026 7.7210 Lu
```

Entry 3:
Entry from the Open Quantum Materials Database: a geometry-optimized PaCd structure (PBE).

Cell and atoms, written as POSCAR:
```
PaCd
1.0
0.0000 3.0635 3.0635
3.0635 0.0000 3.0635
3.0635 3.0635 0.0000
Cd Pa
1 1
Cartesian
0.0000 0.0000 0.0000 Cd
3.0635 3.0635 3.0635 Pa
```

| no. | E_tot (eV per atom) |
| --- | --- |
| 1 | -6.24 |
| 2 | -4.81 |
| 3 | -4.21 |